# 1
Tb2PrSm6Y3 after structural relaxation, computed with GGA-PBE.

The volume comes out at 33.3 Å³/atom. Its formation energy is 0.014 eV/atom.

a = 6.2581 Å, b = 6.2581 Å, c = 11.9492 Å
α = 94.99°, β = 94.99°, γ = 119.98°
Fractional positions:
Tb1 0.3334 0.6666 0.0000
Tb2 0.6666 0.3334 0.0000
Pr1 0.0000 0.0000 0.0000
Sm1 0.9159 0.5817 0.7488
Sm2 0.7499 0.7499 0.2512
Sm3 0.0841 0.4183 0.2512
Sm4 0.5817 0.9159 0.7488
Sm5 0.2501 0.2501 0.7488
Sm6 0.4183 0.0841 0.2512
Y1 0.1670 0.8330 0.5000
Y2 0.8330 0.1670 0.5000
Y3 0.5000 0.5000 0.5000

---

# 2
Tb2Pr6SmY3 after structural relaxation, computed with GGA-PBE.

The volume comes out at 34.1 Å³/atom. Its formation energy is 0.008 eV/atom.

a = 6.3383 Å, b = 6.3383 Å, c = 11.9653 Å
α = 95.05°, β = 95.05°, γ = 120.01°
Fractional positions:
Tb1 0.3335 0.6665 0.0000
Tb2 0.6665 0.3335 0.0000
Pr1 0.9161 0.5825 0.7498
Pr2 0.7502 0.7502 0.2503
Pr3 0.0839 0.4175 0.2502
Pr4 0.5825 0.9161 0.7498
Pr5 0.2498 0.2498 0.7497
Pr6 0.4175 0.0839 0.2502
Sm1 0.0000 0.0000 0.0000
Y1 0.1668 0.8332 0.5000
Y2 0.8332 0.1668 0.5000
Y3 0.5000 0.5000 0.5000

---

# 3
Tb3Pr2SmY6 after structural relaxation, computed with GGA-PBE.

The volume comes out at 32.8 Å³/atom. Its formation energy is 0.016 eV/atom.

a = 6.2369 Å, b = 6.2369 Å, c = 11.8743 Å
α = 95.00°, β = 95.00°, γ = 119.97°
Fractional positions:
Tb1 0.1667 0.8333 0.5000
Tb2 0.8333 0.1667 0.5000
Tb3 0.5000 0.5000 0.5000
Pr1 0.3334 0.6666 0.0000
Pr2 0.6666 0.3334 0.0000
Sm1 0.0000 0.0000 0.0000
Y1 0.9154 0.5825 0.7470
Y2 0.7518 0.7518 0.2532
Y3 0.0846 0.4175 0.2530
Y4 0.5825 0.9154 0.7470
Y5 0.2482 0.2482 0.7468
Y6 0.4175 0.0846 0.2530

---

# 4
Tb2Pr3SmY6 after structural relaxation, computed with GGA-PBE.

The volume comes out at 33.2 Å³/atom. Its formation energy is 0.014 eV/atom.

a = 6.2637 Å, b = 6.2637 Å, c = 11.8923 Å
α = 95.02°, β = 95.02°, γ = 119.98°
Fractional positions:
Tb1 0.3333 0.6667 0.0000
Tb2 0.6667 0.3333 0.0000
Pr1 0.1668 0.8332 0.5000
Pr2 0.8332 0.1668 0.5000
Pr3 0.5000 0.5000 0.5000
Sm1 0.0000 0.0000 0.0000
Y1 0.9175 0.5840 0.7530
Y2 0.7488 0.7488 0.2471
Y3 0.0825 0.4160 0.2470
Y4 0.5840 0.9175 0.7530
Y5 0.2512 0.2512 0.7529
Y6 0.4160 0.0825 0.2470

---

# 5
TbPr3SmY after structural relaxation, computed with GGA-PBE.

The volume comes out at 34.4 Å³/atom. Its formation energy is 0.107 eV/atom.

a = 6.0501 Å, b = 6.4279 Å, c = 12.0388 Å
α = 90.00°, β = 90.00°, γ = 118.07°
Fractional positions:
Tb1 0.4868 0.9736 0.7500
Tb2 0.5132 0.0264 0.2500
Pr1 0.6653 0.3307 0.5123
Pr2 0.3347 0.6693 0.4877
Pr3 0.3347 0.6693 0.0123
Pr4 0.6653 0.3307 0.9877
Pr5 0.1688 0.3375 0.7500
Pr6 0.8312 0.6625 0.2500
Sm1 0.0000 0.0000 0.5000
Sm2 0.0000 0.0000 0.0000
Y1 0.8449 0.6898 0.7500
Y2 0.1551 0.3102 0.2500

---

# 6
Tb6Pr3Sm2Y after structural relaxation, computed with GGA-PBE.

The volume comes out at 33.3 Å³/atom. Its formation energy is 0.015 eV/atom.

a = 6.2662 Å, b = 6.2662 Å, c = 11.9428 Å
α = 95.01°, β = 95.01°, γ = 120.00°
Fractional positions:
Tb1 0.9172 0.5836 0.7526
Tb2 0.7494 0.7494 0.2475
Tb3 0.0828 0.4164 0.2474
Tb4 0.5836 0.9172 0.7526
Tb5 0.2506 0.2506 0.7525
Tb6 0.4164 0.0828 0.2474
Pr1 0.1667 0.8333 0.5000
Pr2 0.8333 0.1667 0.5000
Pr3 0.5000 0.5000 0.5000
Sm1 0.3335 0.6665 0.0000
Sm2 0.6665 0.3335 0.0000
Y1 0.0000 0.0000 0.0000

---

# 7
TbPrSm6Y2 after structural relaxation, computed with GGA-PBE.

The volume comes out at 34.0 Å³/atom. Its formation energy is 0.121 eV/atom.

a = 9.6450 Å, b = 8.9319 Å, c = 8.9319 Å
α = 117.11°, β = 93.63°, γ = 93.63°
Fractional positions:
Tb1 0.2500 0.9680 0.0320
Tb2 0.7500 0.0320 0.9680
Pr1 0.2500 0.4065 0.5935
Pr2 0.7500 0.5935 0.4065
Sm1 0.0570 0.1125 0.7590
Sm2 0.4430 0.2410 0.8875
Sm3 0.9430 0.8875 0.2410
Sm4 0.5570 0.7590 0.1125
Sm5 0.3169 0.9818 0.4341
Sm6 0.1831 0.5659 0.0182
Sm7 0.6831 0.0182 0.5659
Sm8 0.8169 0.4341 0.9818
Sm9 0.1186 0.7060 0.4855
Sm10 0.3814 0.5145 0.2940
Sm11 0.8814 0.2940 0.5145
Sm12 0.6186 0.4855 0.7060
Y1 0.4525 0.8026 0.7060
Y2 0.0475 0.2940 0.1974
Y3 0.5475 0.1974 0.2940
Y4 0.9525 0.7060 0.8026

---

# 8
TbPr2Sm3Y6 after structural relaxation, computed with GGA-PBE.

The volume comes out at 33.1 Å³/atom. Its formation energy is 0.012 eV/atom.

a = 6.2583 Å, b = 6.2583 Å, c = 11.8900 Å
α = 95.01°, β = 95.01°, γ = 119.98°
Fractional positions:
Tb1 0.0000 0.0000 0.0000
Pr1 0.3336 0.6664 0.0000
Pr2 0.6664 0.3336 0.0000
Sm1 0.1667 0.8333 0.5000
Sm2 0.8333 0.1667 0.5000
Sm3 0.5000 0.5000 0.5000
Y1 0.9165 0.5837 0.7491
Y2 0.7511 0.7511 0.2512
Y3 0.0835 0.4163 0.2509
Y4 0.5837 0.9165 0.7491
Y5 0.2489 0.2489 0.7488
Y6 0.4163 0.0835 0.2509